1.
VASP calculation (PBE) on crystalline BeZn2Ru at its relaxed geometry.

E_form	0.00	eV/atom
SG	No. 216

Cell and atoms, written as CIF:
```
data_BeZn2Ru
_chemical_formula_sum 'Be1 Zn2 Ru1'
_space_group_name_H-M_alt 'P 1'
_space_group_IT_number 1
_space_group_name_Hall 'P 1'
_cell_length_a 4.1395
_cell_length_b 4.1395
_cell_length_c 4.1395
_cell_angle_alpha 60.00
_cell_angle_beta 60.00
_cell_angle_gamma 60.00
loop_
_atom_site_label
_atom_site_type_symbol
_atom_site_fract_x
_atom_site_fract_y
_atom_site_fract_z
Be1 Be 0.0000 0.0000 0.0000
Zn1 Zn 0.5000 0.5000 0.5000
Zn2 Zn 0.7500 0.7500 0.7500
Ru1 Ru 0.2500 0.2500 0.2500
```

2.
VASP calculation (PBE) on crystalline TaOs3O at its relaxed geometry.

formation energy from raw total energies	2.8728	eV/atom
SG	No. 221
energy relative to the lowest polymorph listed for this composition	12.06	eV/f.u.

Cell and atoms, written as CIF:
```
data_TaOs3O
_chemical_formula_sum 'Ta1 Os3 O1'
_space_group_name_H-M_alt 'P 1'
_space_group_IT_number 1
_space_group_name_Hall 'P 1'
_cell_length_a 4.8144
_cell_length_b 4.8144
_cell_length_c 4.8144
_cell_angle_alpha 90.00
_cell_angle_beta 90.00
_cell_angle_gamma 90.00
loop_
_atom_site_label
_atom_site_type_symbol
_atom_site_fract_x
_atom_site_fract_y
_atom_site_fract_z
Ta1 Ta 0.0000 0.0000 0.0000
Os1 Os 0.0000 0.0000 0.5000
Os2 Os 0.0000 0.5000 0.0000
Os3 Os 0.5000 0.0000 0.0000
O1 O 0.5000 0.5000 0.5000
```

3.
VASP calculation (PBE) on crystalline MnPb2W at its relaxed geometry.

E_form	0.75	eV/atom
SG	No. 8
energy relative to the lowest polymorph listed for this composition	1.27	eV/f.u.

Cell and atoms, written as CIF:
```
data_MnPb2W
_chemical_formula_sum 'Mn1 Pb2 W1'
_space_group_name_H-M_alt 'P 1'
_space_group_IT_number 1
_space_group_name_Hall 'P 1'
_cell_length_a 5.6192
_cell_length_b 5.6192
_cell_length_c 5.3482
_cell_angle_alpha 109.35
_cell_angle_beta 109.35
_cell_angle_gamma 32.24
loop_
_atom_site_label
_atom_site_type_symbol
_atom_site_fract_x
_atom_site_fract_y
_atom_site_fract_z
Mn1 Mn 0.0000 0.0000 0.0000
Pb1 Pb 0.5623 0.5623 0.5418
Pb2 Pb 0.7671 0.7671 0.1717
W1 W 0.3306 0.3306 0.7115
```

Which formula does entry 3 have? MnPb2W

What is the formula in the first record? BeZn2Ru